(1)
## RhAu4C2 (PBE)

Data for a geometry-optimized RhAu4C2 structure.

Values from the calculation:
energy relative to the elements	1.205	eV per atom
N(E_F)	4.6	states/eV/f.u.
total magnetic moment	0.45	μB per formula unit

Cell and atoms, written as POSCAR:
```
RhAu4C2
1.0
5.131 0.000 0.000
0.000 5.131 0.000
0.000 0.000 10.477
Rh Au C
2 8 4
direct
0.000 0.000 0.000
0.500 0.500 0.500
0.000 0.000 0.249
0.000 0.000 0.751
0.000 0.500 0.000
0.000 0.500 0.500
0.500 0.000 0.000
0.500 0.000 0.500
0.500 0.500 0.251
0.500 0.500 0.749
0.000 0.000 0.438
0.000 0.000 0.562
0.500 0.500 0.062
0.500 0.500 0.938
```


(2)
## Tl2InAs2 (PBE)

Data for a geometry-optimized Tl2InAs2 structure.

Values from the calculation:
energy relative to the elements	0.035	eV per atom
N(E_F)	4.0	states/eV/f.u.
distance to the lowest polymorph of the same formula	0.0000	eV/atom
total magnetic moment	0.00	μB per formula unit

Cell and atoms, written as POSCAR:
```
Tl2InAs2
1.0
7.353 0.000 0.000
0.000 7.353 0.000
0.000 0.000 5.228
Tl In As
4 2 4
direct
0.180 0.320 0.000
0.320 0.820 0.000
0.680 0.180 0.000
0.820 0.680 0.000
0.000 0.000 0.500
0.500 0.500 0.500
0.117 0.617 0.500
0.383 0.117 0.500
0.617 0.883 0.500
0.883 0.383 0.500
```


(3)
## KRbCa2Rh (PBE)

Data for a geometry-optimized KRbCa2Rh structure.

Values from the calculation:
energy relative to the elements	0.057	eV per atom
N(E_F)	2.9	states/eV/f.u.
distance to the lowest polymorph of the same formula	0.0163	eV/atom
total magnetic moment	0.00	μB per formula unit

Cell and atoms, written as POSCAR:
```
KRbCa2Rh
1.0
5.599 0.000 0.000
0.000 5.599 0.000
0.000 0.000 6.816
K Rb Ca Rh
1 1 2 1
direct
0.000 0.000 0.000
0.500 0.500 0.000
0.000 0.500 0.500
0.500 0.000 0.500
0.500 0.500 0.500
```


(4)
## Cr2ReBr (PBE)

Data for a geometry-optimized Cr2ReBr structure.

Values from the calculation:
raw formation energy	950.3	meV/atom
N(E_F)	3.4	states/eV/f.u.
distance to the lowest polymorph of the same formula	0.5768	eV/atom
total magnetic moment	0.19	μB per formula unit

Cell and atoms, written as POSCAR:
```
Cr2ReBr
1.0
2.977 0.000 0.000
0.000 4.359 0.000
0.000 0.000 4.517
Cr Re Br
2 1 1
direct
0.000 0.000 0.000
0.500 0.000 0.500
0.000 0.500 0.500
0.500 0.500 0.000
```


(5)
## Np2Tl2O7 (PBE)

Data for a geometry-optimized Np2Tl2O7 structure.

Values from the calculation:
raw formation energy	-2101.9	meV/atom
N(E_F)	9.3	states/eV/f.u.
total magnetic moment	4.26	μB per formula unit

Cell and atoms, written as POSCAR:
```
Np2Tl2O7
1.0
0.000 5.689 5.689
5.689 0.000 5.689
5.689 5.689 0.000
Np Tl O
4 4 14
direct
0.000 0.000 0.000
0.000 0.000 0.500
0.000 0.500 0.000
0.500 0.000 0.000
0.000 0.500 0.500
0.500 0.000 0.500
0.500 0.500 0.000
0.500 0.500 0.500
0.061 0.061 0.689
0.061 0.689 0.061
0.061 0.689 0.689
0.311 0.311 0.939
0.311 0.939 0.311
0.311 0.939 0.939
0.375 0.375 0.375
0.625 0.625 0.625
0.689 0.061 0.061
0.689 0.061 0.689
0.689 0.689 0.061
0.939 0.311 0.311
0.939 0.311 0.939
0.939 0.939 0.311
```


(6)
## Zn2In2P (PBE)

Data for a geometry-optimized Zn2In2P structure.

Values from the calculation:
energy relative to the elements	0.297	eV per atom
N(E_F)	2.0	states/eV/f.u.
distance to the lowest polymorph of the same formula	0.1636	eV/atom
total magnetic moment	0.00	μB per formula unit

Cell and atoms, written as POSCAR:
```
Zn2In2P
1.0
8.060 0.000 0.000
0.000 8.060 0.000
0.000 0.000 3.210
Zn In P
4 4 2
direct
0.108 0.392 0.000
0.392 0.892 0.000
0.608 0.108 0.000
0.892 0.608 0.000
0.196 0.696 0.500
0.304 0.196 0.500
0.696 0.804 0.500
0.804 0.304 0.500
0.000 0.000 0.500
0.500 0.500 0.500
```


(7)
## TlNiAs (PBE)

Data for a geometry-optimized TlNiAs structure.

Values from the calculation:
energy relative to the elements	0.686	eV per atom
N(E_F)	2.0	states/eV/f.u.
distance to the lowest polymorph of the same formula	0.8606	eV/atom
total magnetic moment	0.00	μB per formula unit

Cell and atoms, written as POSCAR:
```
TlNiAs
1.0
6.419 0.000 0.000
0.000 6.419 0.000
0.000 0.000 6.419
Tl Ni As
4 4 4
direct
0.000 0.000 0.000
0.000 0.500 0.500
0.500 0.000 0.500
0.500 0.500 0.000
0.250 0.250 0.750
0.250 0.750 0.250
0.750 0.250 0.250
0.750 0.750 0.750
0.250 0.250 0.250
0.250 0.750 0.750
0.750 0.250 0.750
0.750 0.750 0.250
```


(8)
## BaScMo2 (PBE)

Data for a geometry-optimized BaScMo2 structure.

Values from the calculation:
energy relative to the elements	1.168	eV per atom
N(E_F)	4.5	states/eV/f.u.
distance to the lowest polymorph of the same formula	0.7830	eV/atom
total magnetic moment	0.00	μB per formula unit

Cell and atoms, written as POSCAR:
```
BaScMo2
1.0
4.064 0.000 0.000
0.000 4.064 0.000
0.000 0.000 5.230
Ba Sc Mo
1 1 2
direct
0.000 0.000 0.000
0.500 0.500 0.000
0.000 0.500 0.500
0.500 0.000 0.500
```


(9)
## CeDyIn4 (PBE)

Data for a geometry-optimized CeDyIn4 structure.

Values from the calculation:
energy relative to the elements	0.002	eV per atom
N(E_F)	8.6	states/eV/f.u.
distance to the lowest polymorph of the same formula	0.3820	eV/atom
total magnetic moment	0.92	μB per formula unit

Cell and atoms, written as POSCAR:
```
CeDyIn4
1.0
7.032 0.000 0.000
0.000 7.030 0.000
-0.016 0.000 7.771
Ce Dy In
2 2 8
direct
0.000 0.000 0.000
0.500 0.500 0.000
0.000 0.500 0.500
0.500 0.000 0.500
0.250 0.249 0.736
0.250 0.251 0.264
0.250 0.749 0.264
0.250 0.751 0.736
0.750 0.249 0.264
0.750 0.251 0.736
0.750 0.749 0.736
0.750 0.751 0.264
```


(10)
## SmEr2S (PBE)

Data for a geometry-optimized SmEr2S structure.

Values from the calculation:
raw formation energy	-938.0	meV/atom
N(E_F)	3.1	states/eV/f.u.
distance to the lowest polymorph of the same formula	0.0000	eV/atom
total magnetic moment	0.66	μB per formula unit

Cell and atoms, written as POSCAR:
```
SmEr2S
1.0
3.702 0.000 0.000
-1.851 3.206 0.000
0.000 0.000 27.760
Sm Er S
3 6 3
direct
0.000 0.000 0.000
0.333 0.667 0.667
0.667 0.333 0.333
0.000 0.000 0.561
0.000 0.000 0.773
0.333 0.667 0.227
0.333 0.667 0.440
0.667 0.333 0.107
0.667 0.333 0.894
0.000 0.000 0.167
0.333 0.667 0.834
0.667 0.333 0.500
```


(11)
## Cs12Rb3Zn5 (PBE)

Data for a geometry-optimized Cs12Rb3Zn5 structure.

Values from the calculation:
energy relative to the elements	0.201	eV per atom
N(E_F)	21.7	states/eV/f.u.
total magnetic moment	0.00	μB per formula unit

Cell and atoms, written as POSCAR:
```
Cs12Rb3Zn5
1.0
-12.344 12.344 12.344
12.344 -12.344 12.344
12.344 12.344 -12.344
Cs Rb Zn
48 12 20
direct
0.013 0.193 0.097
0.013 0.320 0.916
0.084 0.597 0.404
0.084 0.987 0.680
0.096 0.693 0.680
0.096 0.903 0.416
0.097 0.013 0.193
0.097 0.584 0.904
0.180 0.193 0.596
0.180 0.487 0.584
0.193 0.097 0.013
0.193 0.596 0.180
0.307 0.320 0.904
0.307 0.487 0.403
0.320 0.904 0.307
0.320 0.916 0.013
0.403 0.307 0.487
0.403 0.596 0.916
0.404 0.084 0.597
0.404 0.820 0.807
0.416 0.096 0.903
0.416 0.820 0.513
0.487 0.403 0.307
0.487 0.584 0.180
0.513 0.416 0.820
0.513 0.597 0.693
0.584 0.180 0.487
0.584 0.904 0.097
0.596 0.180 0.193
0.596 0.916 0.403
0.597 0.404 0.084
0.597 0.693 0.513
0.680 0.084 0.987
0.680 0.096 0.693
0.693 0.513 0.597
0.693 0.680 0.096
0.807 0.404 0.820
0.807 0.903 0.987
0.820 0.513 0.416
0.820 0.807 0.404
0.903 0.416 0.096
0.903 0.987 0.807
0.904 0.097 0.584
0.904 0.307 0.320
0.916 0.013 0.320
0.916 0.403 0.596
0.987 0.680 0.084
0.987 0.807 0.903
0.125 0.250 0.375
0.125 0.375 0.750
0.250 0.375 0.125
0.250 0.875 0.625
0.375 0.125 0.250
0.375 0.750 0.125
0.625 0.250 0.875
0.625 0.875 0.750
0.750 0.125 0.375
0.750 0.625 0.875
0.875 0.625 0.250
0.875 0.750 0.625
0.000 0.000 0.000
0.000 0.000 0.500
0.000 0.500 0.000
0.000 0.500 0.500
0.125 0.750 0.875
0.125 0.875 0.250
0.250 0.125 0.875
0.250 0.625 0.375
0.375 0.250 0.625
0.375 0.625 0.750
0.500 0.000 0.000
0.500 0.000 0.500
0.500 0.500 0.000
0.500 0.500 0.500
0.625 0.375 0.250
0.625 0.750 0.375
0.750 0.375 0.625
0.750 0.875 0.125
0.875 0.125 0.750
0.875 0.250 0.125
```